# CuSiTc3 PBE-GGA relaxed
# - Uncorrected formation energy: 1.697 eV/atom
# - Distance to the lowest polymorph of the same formula: 617 meV/atom
# - DOS at the Fermi energy: 1.138 states/eV per atom
# - Total magnetization: 3.96 μB/f.u.
data_CuSiTc3
_chemical_formula_sum 'Cu1 Si1 Tc3'
_symmetry_space_group_name_H-M 'P 1'
_symmetry_Int_Tables_number 1
_cell_length_a 4.452
_cell_length_b 4.452
_cell_length_c 4.452
_cell_angle_alpha 90.00
_cell_angle_beta 90.00
_cell_angle_gamma 90.00
loop_
_symmetry_equiv_pos_as_xyz
'x,y,z'
loop_
_atom_site_label
_atom_site_type_symbol
_atom_site_fract_x
_atom_site_fract_y
_atom_site_fract_z
_atom_site_occupancy
Cu1 Cu 0.000 0.000 0.000 1
Si1 Si 0.500 0.500 0.500 1
Tc1 Tc 0.000 0.000 0.500 1
Tc2 Tc 0.000 0.500 0.000 1
Tc3 Tc 0.500 0.000 0.000 1

# ZrAg2Hg PBE-GGA relaxed
# - Total energy: -3.6219 eV per atom
# - DOS at the Fermi energy: 0.577 states/eV per atom
# - Total magnetization: 0.00 μB/f.u.
data_ZrAg2Hg
_chemical_formula_sum 'Zr1 Ag2 Hg1'
_symmetry_space_group_name_H-M 'P 1'
_symmetry_Int_Tables_number 1
_cell_length_a 3.083
_cell_length_b 4.081
_cell_length_c 6.391
_cell_angle_alpha 90.00
_cell_angle_beta 90.00
_cell_angle_gamma 90.00
loop_
_symmetry_equiv_pos_as_xyz
'x,y,z'
loop_
_atom_site_label
_atom_site_type_symbol
_atom_site_fract_x
_atom_site_fract_y
_atom_site_fract_z
_atom_site_occupancy
Zr1 Zr 0.000 0.000 0.000 1
Ag1 Ag 0.500 0.500 0.245 1
Ag2 Ag 0.500 0.500 0.755 1
Hg1 Hg 0.000 0.000 0.500 1

# Na6SrSn2 PBE-GGA relaxed
# - Total energy: -2.1270 eV per atom
# - DOS at the Fermi energy: 0.331 states/eV per atom
# - Total magnetization: 0.00 μB/f.u.
data_Na6SrSn2
_chemical_formula_sum 'Na6 Sr1 Sn2'
_symmetry_space_group_name_H-M 'P 1'
_symmetry_Int_Tables_number 1
_cell_length_a 4.869
_cell_length_b 4.869
_cell_length_c 12.946
_cell_angle_alpha 90.00
_cell_angle_beta 90.00
_cell_angle_gamma 90.00
loop_
_symmetry_equiv_pos_as_xyz
'x,y,z'
loop_
_atom_site_label
_atom_site_type_symbol
_atom_site_fract_x
_atom_site_fract_y
_atom_site_fract_z
_atom_site_occupancy
Na1 Na 0.000 0.000 0.000 1
Na2 Na 0.000 0.500 0.231 1
Na3 Na 0.000 0.500 0.769 1
Na4 Na 0.500 0.000 0.231 1
Na5 Na 0.500 0.000 0.769 1
Na6 Na 0.500 0.500 0.000 1
Sr1 Sr 0.000 0.000 0.500 1
Sn1 Sn 0.500 0.500 0.392 1
Sn2 Sn 0.500 0.500 0.608 1

- Number 1 is which compound?
  CuSiTc3

- Which value of total magnetization does entry 2 give?
  0.00 μB/f.u.